## w
Density functional theory data (meta-GGA SCAN) for a crystal of CuSbCl2 relaxed with PBEsol.

## Properties
- DOS at the Fermi energy: 1.03 states/eV/f.u.

Cell: 3.644 5.889 8.216 Å, 90.00 90.00 90.00°
Space group Cmm2 (No. 35)
Inequivalent atoms, fractional coordinates:
1 Cu 0.000 0.000 0.000 [2 per cell]
2 Sb 0.000 0.500 0.774 [2 per cell]
3 Cl 0.000 0.000 0.524 [2 per cell]
4 Cl 0.000 0.500 0.153 [2 per cell]

=====

## x
Density functional theory data (meta-GGA SCAN) for a crystal of CuSbCl2 relaxed with PBEsol.

## Properties
- DOS at the Fermi energy: 0.78 states/eV/f.u.

Cell: 4.953 3.260 5.426 Å, 90.00 103.29 90.00°
Space group Pm (No. 6)
Inequivalent atoms, fractional coordinates:
1 Cu 0.000 0.000 0.000 [1 per cell]
2 Sb 0.339 0.500 0.300 [1 per cell]
3 Cl 0.018 0.000 0.579 [1 per cell]
4 Cl 0.645 0.500 0.958 [1 per cell]

=====

x comes first in stability; the runner-up is 0.094 eV/atom higher.

=====

## w
Density functional theory data (meta-GGA SCAN) for a crystal of ScCu2Cl relaxed with PBEsol.

## Properties
- DOS at the Fermi energy: 1.63 states/eV/f.u.

Cell: 4.925 10.375 3.312 Å, 90.00 131.74 90.00°
Space group C2/m (No. 12)
Inequivalent atoms, fractional coordinates:
1 Sc 0.000 0.000 0.000 [2 per cell]
2 Cu 0.250 0.250 0.500 [4 per cell]
3 Cl 0.000 0.500 0.000 [2 per cell]

=====

## x
Density functional theory data (meta-GGA SCAN) for a crystal of ScCu2Cl relaxed with PBEsol.

## Properties
- DOS at the Fermi energy: 3.60 states/eV/f.u.

Cell: 3.570 3.570 5.061 Å, 90.00 90.00 90.00°
Space group P4/mmm (No. 123)
Inequivalent atoms, fractional coordinates:
1 Sc 0.000 0.000 0.000 [1 per cell]
2 Cu 0.500 0.500 0.236 [2 per cell]
3 Cl 0.000 0.000 0.500 [1 per cell]

=====

w comes first in stability; the runner-up is 0.182 eV/atom higher.